La4Ge2Au5 | PBE | relaxed

The structure in POSCAR format:
```
La4Ge2Au5
1.0
4.185 0.000 0.000
0.000 7.605 0.323
0.000 -0.342 8.718
La Au Ge
4 5 2
Cartesian
2.093 5.477 5.519
2.093 1.786 3.522
2.093 1.373 7.588
2.093 5.890 1.453
0.000 6.232 7.930
0.000 3.802 0.162
0.000 4.209 3.214
0.000 3.054 5.827
0.000 1.031 1.111
0.000 6.968 3.525
0.000 0.295 5.516
```

Properties
- Density of states at the Fermi level: 7.9 states/eV per cell



La3Ge4Au7 | PBE | relaxed

The structure in POSCAR format:
```
La3Ge4Au7
1.0
-1.692 4.171 -0.531
-8.306 -1.157 -1.971
-5.092 1.280 6.929
Au La Ge
7 3 4
Cartesian
-8.394 1.467 -0.422
-9.262 4.280 5.095
0.000 0.000 0.000
-5.827 0.014 -0.668
-9.985 1.116 1.889
-6.695 2.827 4.849
-5.104 3.178 2.538
-6.699 0.061 2.479
-3.073 1.315 0.773
-12.016 2.979 3.654
-10.816 3.020 0.151
-4.273 1.274 4.276
-9.103 1.773 4.240
-5.986 2.521 0.186
```

Properties
- Density of states at the Fermi level: 6.9 states/eV per cell



Formation energy from the elements (computed, eV/atom): -0.777 -0.626